1.
This record from OQMD describes NaCuGeTe3 after structural relaxation. The functional is GGA-PBE.

Lattice parameters (Å, degrees): 7.558 7.558 11.460 90.00 90.00 29.15
Sites, in units of the cell vectors:
1 Te 0.360 0.360 0.450
2 Te 0.640 0.640 0.950
3 Te 0.360 0.360 0.050
4 Te 0.931 0.931 0.750
5 Te 0.069 0.069 0.250
6 Te 0.640 0.640 0.550
7 Na 0.756 0.756 0.250
8 Na 0.244 0.244 0.750
9 Cu 0.446 0.446 0.250
10 Cu 0.554 0.554 0.750
11 Ge 0.000 0.000 0.500
12 Ge 0.000 0.000 0.000

- ρ: 5.6 g cm⁻³
- Calculated volume: 318.85 Å³ per cell
- SG: No. 63
- Polymorph energy (0 for the lowest one): 19 meV/atom

***

2.
This record from OQMD describes CsMgCu3As2P after structural relaxation. The functional is GGA-PBE.

Lattice parameters (Å, degrees): 4.005 4.166 10.352 90.00 90.00 90.00
Sites, in units of the cell vectors:
1 Cs 0.000 0.000 0.505
2 Mg 0.500 0.000 0.137
3 As 0.500 0.500 0.280
4 As 0.500 0.500 0.733
5 Cu 0.500 0.000 0.858
6 Cu 0.000 0.500 0.869
7 Cu 0.000 0.500 0.137
8 P 0.000 0.000 0.981

- ρ: 5.1 g cm⁻³
- Calculated volume: 172.70 Å³ per cell
- SG: No. 25
- Uncorrected energy: -3.751 eV per atom

***

3.
This record from OQMD describes NdUTa after structural relaxation. The functional is GGA-PBE.

Lattice parameters (Å, degrees): 4.851 4.851 4.851 60.00 60.00 60.00
Sites, in units of the cell vectors:
1 Nd 0.250 0.250 0.250
2 Ta 0.750 0.750 0.750
3 U 0.000 0.000 0.000

- ΔH_f (0 K): 1.4417 eV/atom
- ρ: 11.6 g cm⁻³
- Calculated volume: 80.72 Å³ per cell
- Total magnetization: 2.75 μB/f.u.
- SG: No. 216
- Polymorph energy (0 for the lowest one): 0 meV/atom

***

4.
This record from OQMD describes RbGePd after structural relaxation. The functional is GGA-PBE.

Lattice parameters (Å, degrees): 5.151 5.151 5.151 60.00 60.00 60.00
Sites, in units of the cell vectors:
1 Pd 0.750 0.750 0.750
2 Rb 0.000 0.000 0.000
3 Ge 0.250 0.250 0.250

- ρ: 4.5 g cm⁻³
- Calculated volume: 96.62 Å³ per cell
- SG: No. 216
- Polymorph energy (0 for the lowest one): 676 meV/atom

***

5.
This record from OQMD describes WSeBr4 after structural relaxation. The functional is GGA-PBE.

Lattice parameters (Å, degrees): 6.921 7.930 7.967 75.88 79.47 78.05
Sites, in units of the cell vectors:
1 Br 0.195 0.346 0.874
2 Br 0.022 0.721 0.508
3 Br 0.978 0.279 0.492
4 Br 0.160 0.852 0.837
5 Br 0.340 0.470 0.207
6 Br 0.805 0.654 0.126
7 Br 0.660 0.530 0.793
8 Br 0.840 0.148 0.163
9 W 0.141 0.250 0.197
10 W 0.859 0.750 0.803
11 Se 0.360 0.998 0.244
12 Se 0.640 0.002 0.756

- ρ: 4.7 g cm⁻³
- Calculated volume: 410.77 Å³ per cell
- Total magnetization: 0.00 μB/f.u.
- SG: No. 2
- Uncorrected energy: -4.273 eV per atom

***

6.
This record from OQMD describes SbAsPdO after structural relaxation. The functional is GGA-PBE.

Lattice parameters (Å, degrees): 4.408 4.408 8.015 90.00 90.00 90.00
Sites, in units of the cell vectors:
1 Sb 0.000 0.000 0.500
2 Sb 0.500 0.500 0.500
3 Pd 0.000 0.500 0.956
4 Pd 0.500 0.000 0.044
5 As 0.500 0.000 0.741
6 As 0.000 0.500 0.259
7 O 0.500 0.500 0.000
8 O 0.000 0.000 0.000

- ρ: 6.8 g cm⁻³
- Calculated volume: 155.72 Å³ per cell
- SG: No. 129
- Polymorph energy (0 for the lowest one): 683 meV/atom

***

7.
This record from OQMD describes BeFeNiSb after structural relaxation. The functional is GGA-PBE.

Lattice parameters (Å, degrees): 4.136 4.136 4.136 60.00 60.00 60.00
Sites, in units of the cell vectors:
1 Ni 0.750 0.750 0.750
2 Sb 0.000 0.000 0.000
3 Fe 0.250 0.250 0.250
4 Be 0.500 0.500 0.500

- ρ: 8.1 g cm⁻³
- Calculated volume: 50.03 Å³ per cell
- Total magnetization: 1.43 μB/f.u.
- SG: No. 216
- Polymorph energy (0 for the lowest one): 0 meV/atom

***

8.
This record from OQMD describes Zr2Co after structural relaxation. The functional is GGA-PBE.

Lattice parameters (Å, degrees): 13.922 3.296 4.783 90.00 90.00 90.00
Sites, in units of the cell vectors:
1 Zr 0.950 0.000 0.000
2 Zr 0.450 0.500 0.000
3 Zr 0.648 0.000 0.000
4 Zr 0.494 0.000 0.500
5 Zr 0.797 0.000 0.500
6 Zr 0.994 0.500 0.500
7 Zr 0.148 0.500 0.000
8 Zr 0.297 0.500 0.500
9 Co 0.644 0.500 0.500
10 Co 0.300 0.000 0.000
11 Co 0.800 0.500 0.000
12 Co 0.145 0.000 0.500

- ΔH_f (0 K): -0.1325 eV/atom
- ρ: 7.3 g cm⁻³
- Calculated volume: 219.47 Å³ per cell
- Total magnetization: 0.67 μB/f.u.
- SG: No. 63

***

9.
This record from OQMD describes RbGdEr after structural relaxation. The functional is GGA-PBE.

Lattice parameters (Å, degrees): 5.946 5.946 5.946 60.00 60.00 60.00
Sites, in units of the cell vectors:
1 Gd 0.000 0.000 0.000
2 Er 0.250 0.250 0.250
3 Rb 0.750 0.750 0.750

- ρ: 4.6 g cm⁻³
- Calculated volume: 148.62 Å³ per cell
- Total magnetization: 0.82 μB/f.u.
- SG: No. 216
- Uncorrected energy: -2.141 eV per atom

***

10.
This record from OQMD describes CdAgO3 after structural relaxation. The functional is GGA-PBE.

Lattice parameters (Å, degrees): 3.034 5.316 5.324 60.12 87.30 89.09
Sites, in units of the cell vectors:
1 O 0.237 0.388 0.022
2 O 0.192 0.022 0.590
3 O 0.196 0.589 0.390
4 Cd 0.208 0.999 0.000
5 Ag 0.708 0.335 0.332

- ρ: 6.0 g cm⁻³
- Calculated volume: 74.37 Å³ per cell
- SG: No. 1
- Uncorrected energy: -3.481 eV per atom

***

11.
This record from OQMD describes Rb2NaAuI6 after structural relaxation. The functional is GGA-PBE.

Lattice parameters (Å, degrees): 5.783 5.783 15.553 90.00 90.00 90.00
Sites, in units of the cell vectors:
1 I 0.000 0.500 0.873
2 I 0.500 0.000 0.127
3 I 0.500 0.000 0.873
4 I 0.500 0.500 0.000
5 I 0.000 0.500 0.127
6 I 0.500 0.500 0.500
7 Na 0.000 0.000 0.000
8 Rb 0.500 0.500 0.275
9 Rb 0.500 0.500 0.725
10 Au 0.000 0.000 0.500

- ρ: 3.7 g cm⁻³
- Calculated volume: 520.08 Å³ per cell
- SG: No. 123
- Uncorrected energy: -1.910 eV per atom

***

12.
This record from OQMD describes Li2TbZrN2O2 after structural relaxation. The functional is GGA-PBE.

Lattice parameters (Å, degrees): 4.613 4.613 4.342 90.00 90.00 90.00
Sites, in units of the cell vectors:
1 N 0.000 0.500 0.999
2 N 0.500 0.000 0.001
3 O 0.500 0.500 0.500
4 O 0.000 0.000 0.500
5 Zr 0.500 0.500 0.000
6 Li 0.000 0.500 0.499
7 Li 0.500 0.000 0.501
8 Tb 0.000 0.000 0.000

- ρ: 5.8 g cm⁻³
- Calculated volume: 92.39 Å³ per cell
- Total magnetization: 0.75 μB/f.u.
- SG: No. 115
- Uncorrected energy: -7.160 eV per atom